{
  "formula": "LiOsCl2",
  "functional": "PBE-GGA",
  "state": "relaxed",
  "cell": [[1.6323, 0.9424, 8.3268], [-1.6323, 0.9424, 8.3268], [0.0000, -1.8848, 8.3268]],
  "species": ["Li", "Os", "Cl", "Cl"],
  "frac_coords": [[0.0000, 0.0000, 0.0000], [0.5000, 0.5000, 0.5000], [0.0876, 0.0876, 0.0876], [0.9124, 0.9124, 0.9124]],
  "dos_at_fermi_per_ev_atom": 0.265,
  "e_tot_ev_per_atom": -3.795,
  "e_form_raw_ev_per_atom": 0.415
}

---

{
  "formula": "LiOsCl2",
  "functional": "PBE-GGA",
  "state": "relaxed",
  "cell": [[3.0595, 0.0000, 0.0000], [0.0000, 4.1807, 0.0000], [0.0000, 0.0000, 5.0014]],
  "species": ["Li", "Os", "Cl", "Cl"],
  "frac_coords": [[0.0000, 0.0000, 0.0000], [0.5000, 0.5000, 0.5025], [0.0000, 0.0000, 0.5009], [0.5000, 0.5000, 0.0026]],
  "dos_at_fermi_per_ev_atom": 0.586,
  "e_tot_ev_per_atom": -4.115,
  "e_form_raw_ev_per_atom": 0.094
}

---

{
  "formula": "LiOsCl2",
  "functional": "PBE-GGA",
  "state": "relaxed",
  "cell": [[6.4001, -1.4413, 0.0000], [6.4001, 1.4413, 0.0000], [-0.1614, 0.0000, 5.1228]],
  "species": ["Li", "Os", "Cl", "Cl"],
  "frac_coords": [[0.0000, 0.0000, 0.0000], [0.5000, 0.5000, 0.5000], [0.3660, 0.3660, 0.7762], [0.6340, 0.6340, 0.2238]],
  "dos_at_fermi_per_ev_atom": 0.272,
  "e_tot_ev_per_atom": -4.262,
  "e_form_raw_ev_per_atom": -0.053
}

---

{
  "formula": "LiOsCl",
  "functional": "PBE-GGA",
  "state": "relaxed",
  "cell": [[4.2388, 0.0000, 0.0000], [-2.1194, 3.6709, 0.0000], [0.0000, 0.0000, 2.7988]],
  "species": ["Li", "Os", "Cl"],
  "frac_coords": [[0.0000, 0.0000, 0.0000], [0.3333, 0.6667, 0.5000], [0.6667, 0.3333, 0.5000]],
  "dos_at_fermi_per_ev_atom": 0.904,
  "e_tot_ev_per_atom": -4.372,
  "e_form_raw_ev_per_atom": 0.625
}

---

{
  "formula": "LiOsCl",
  "functional": "PBE-GGA",
  "state": "relaxed",
  "cell": [[0.0000, 2.5916, 6.1977], [1.4130, 0.0000, 6.1977], [1.4130, 2.5916, 0.0000]],
  "species": ["Li", "Os", "Cl"],
  "frac_coords": [[0.0000, 0.0000, 0.0000], [0.3175, 0.3175, 0.6825], [0.6537, 0.6537, 0.3463]],
  "dos_at_fermi_per_ev_atom": 0.732,
  "e_tot_ev_per_atom": -4.573,
  "e_form_raw_ev_per_atom": 0.424
}

---

{
  "formula": "Li3OsCl8",
  "functional": "PBE-GGA",
  "state": "relaxed",
  "cell": [[3.8199, -5.0779, 0.0000], [3.8199, 5.0779, 0.0000], [0.0000, 0.0000, 7.6161]],
  "species": ["Li", "Li", "Li", "Os", "Cl", "Cl", "Cl", "Cl", "Cl", "Cl", "Cl", "Cl"],
  "frac_coords": [[0.0000, 0.0000, 0.0000], [0.0000, 0.5000, 0.8255], [0.5000, 0.0000, 0.1745], [0.0000, 0.0000, 0.5000], [0.2130, 0.2221, 0.7162], [0.2221, 0.2130, 0.2838], [0.2265, 0.7735, 0.5000], [0.2344, 0.7656, 0.0000], [0.7656, 0.2344, 0.0000], [0.7735, 0.2265, 0.5000], [0.7779, 0.7870, 0.2838], [0.7870, 0.7779, 0.7162]],
  "e_tot_ev_per_atom": -3.711,
  "e_form_raw_ev_per_atom": -1.065
}

---

{
  "formula": "LiOsCl6",
  "functional": "PBE-GGA",
  "state": "relaxed",
  "cell": [[3.1481, 1.8176, 5.6466], [-3.1481, 1.8176, 5.6466], [0.0000, -3.6352, 5.6466]],
  "species": ["Li", "Os", "Cl", "Cl", "Cl", "Cl", "Cl", "Cl"],
  "frac_coords": [[0.0000, 0.0000, 0.0000], [0.5000, 0.5000, 0.5000], [0.1207, 0.7247, 0.4182], [0.2753, 0.5818, 0.8793], [0.4182, 0.1207, 0.7247], [0.5818, 0.8793, 0.2753], [0.7247, 0.4182, 0.1207], [0.8793, 0.2753, 0.5818]],
  "dos_at_fermi_per_ev_atom": 0.030,
  "e_tot_ev_per_atom": -3.744,
  "e_form_raw_ev_per_atom": -0.716
}

---

{
  "formula": "LiOsCl",
  "functional": "PBE-GGA",
  "state": "relaxed",
  "cell": [[0.0000, 2.8931, 2.8931], [2.8931, 0.0000, 2.8931], [2.8931, 2.8931, 0.0000]],
  "species": ["Li", "Os", "Cl"],
  "frac_coords": [[0.0000, 0.0000, 0.0000], [0.5000, 0.5000, 0.5000], [0.7500, 0.7500, 0.7500]],
  "dos_at_fermi_per_ev_atom": 0.429,
  "e_tot_ev_per_atom": -3.931,
  "e_form_raw_ev_per_atom": 1.066
}